*a*
A plane-wave DFT calculation with GGA-PBE was carried out for a geometry-optimized ScI2NCl structure.

```
data_ScI2NCl
_cell_length_a 6.2476
_cell_length_b 6.2476
_cell_length_c 3.5176
_cell_angle_alpha 90.00
_cell_angle_beta 90.00
_cell_angle_gamma 90.00
_symmetry_space_group_name_H-M 'P 4/m m m'
_symmetry_Int_Tables_number 123
_symmetry_space_group_name_Hall '-P 4 2'
loop_
_atom_site_label
_atom_site_fract_x
_atom_site_fract_y
_atom_site_fract_z
_atom_site_occupancy
Sc1 0.0000 0.0000 0.0000 1
I1 0.0000 0.5000 0.5000 1
N1 0.5000 0.5000 0.0000 1
Cl1 0.5000 0.5000 0.5000 1
```

total magnetization: 0.58 μB/f.u.
DOS at the Fermi energy: 0.845 states/eV per atom

=====

*b*
A plane-wave DFT calculation with GGA-PBE was carried out for a geometry-optimized ScI2NCl structure.

```
data_ScI2NCl
_cell_length_a 5.8257
_cell_length_b 5.8257
_cell_length_c 4.2126
_cell_angle_alpha 90.00
_cell_angle_beta 90.00
_cell_angle_gamma 90.00
_symmetry_space_group_name_H-M 'P 4/m m m'
_symmetry_Int_Tables_number 123
_symmetry_space_group_name_Hall '-P 4 2'
loop_
_atom_site_label
_atom_site_fract_x
_atom_site_fract_y
_atom_site_fract_z
_atom_site_occupancy
Sc1 0.0000 0.0000 0.0000 1
I1 0.0000 0.5000 0.0000 1
N1 0.0000 0.0000 0.5000 1
Cl1 0.5000 0.5000 0.5000 1
```

total magnetization: 2.99 μB/f.u.
DOS at the Fermi energy: 0.990 states/eV per atom

=====

Which of them is least stable? Easy: *a*.

=====

*a*
A plane-wave DFT calculation with GGA-PBE was carried out for a geometry-optimized TaIN2Cl structure.

```
data_TaIN2Cl
_cell_length_a 4.0129
_cell_length_b 4.0129
_cell_length_c 5.1477
_cell_angle_alpha 90.00
_cell_angle_beta 90.00
_cell_angle_gamma 90.00
_symmetry_space_group_name_H-M 'P 4/m m m'
_symmetry_Int_Tables_number 123
_symmetry_space_group_name_Hall '-P 4 2'
loop_
_atom_site_label
_atom_site_fract_x
_atom_site_fract_y
_atom_site_fract_z
_atom_site_occupancy
Ta1 0.0000 0.0000 0.0000 1
I1 0.5000 0.5000 0.0000 1
N1 0.0000 0.5000 0.5000 1
Cl1 0.5000 0.5000 0.5000 1
```

total magnetization: 0.00 μB/f.u.
DOS at the Fermi energy: 0.958 states/eV per atom

=====

*b*
A plane-wave DFT calculation with GGA-PBE was carried out for a geometry-optimized TaIN2Cl structure.

```
data_TaIN2Cl
_cell_length_a 4.0547
_cell_length_b 4.0547
_cell_length_c 5.9919
_cell_angle_alpha 90.00
_cell_angle_beta 90.00
_cell_angle_gamma 90.00
_symmetry_space_group_name_H-M 'P 4/m m m'
_symmetry_Int_Tables_number 123
_symmetry_space_group_name_Hall '-P 4 2'
loop_
_atom_site_label
_atom_site_fract_x
_atom_site_fract_y
_atom_site_fract_z
_atom_site_occupancy
Ta1 0.0000 0.0000 0.0000 1
I1 0.0000 0.0000 0.5000 1
N1 0.0000 0.5000 0.0000 1
Cl1 0.5000 0.5000 0.5000 1
```

total magnetization: 0.60 μB/f.u.
DOS at the Fermi energy: 0.527 states/eV per atom

=====

Which of them is least stable? Easy: *a*.